[1]
The following is a GGA+U calculation of a relaxed structure of SrPa2MnO8, from Alexandria.

Results
energy	-102.0	eV per formula unit
V	14.53	A^3/atom

```
SrPa2MnO8
1.0
4.958 0.068 -0.002
0.121 4.961 -0.005
0.007 0.010 7.089
O Sr Pa Mn
8 1 2 1
direct
0.195 0.804 0.201
0.805 0.196 0.799
0.805 0.196 0.201
0.670 0.672 0.500
0.195 0.804 0.799
0.289 0.288 0.000
0.711 0.712 0.000
0.330 0.328 0.500
0.000 0.000 0.500
0.500 0.500 0.242
0.500 0.500 0.758
0.000 0.000 0.000
```

---

[2]
The following is a GGA+U calculation of a relaxed structure of Sr2PaMnO6, from Alexandria.

Results
energy	-78.3	eV per formula unit
V	14.72	A^3/atom

```
Sr2PaMnO6
1.0
-1.340 0.979 -5.583
-5.604 -1.089 1.154
-4.106 4.145 -1.326
O Sr Mn Pa
6 2 1 1
direct
0.737 0.737 0.000
0.263 0.737 0.000
0.263 0.263 0.000
0.755 0.755 0.489
0.737 0.263 0.000
0.245 0.245 0.511
0.750 0.250 0.500
0.250 0.750 0.500
0.500 0.500 0.000
0.000 0.000 0.000
```